Entry one
A plane-wave DFT calculation with PBE was carried out for an optimized crystal structure of Nd3PtN.

Mass density ... 8.96 g/cm³

abc: 4.9175 4.9175 4.9175
angles: 90.00 90.00 90.00
Closest atoms and distances in Å follow each position.
Space group Pm-3m (No. 221)
One atom of each set of equivalent atoms:
Nd (0.0000, 0.0000, 0.5000) [3 per cell]  2 N 2.46
Pt (0.5000, 0.5000, 0.5000) [1 per cell]  12 Nd 3.48
N (0.0000, 0.0000, 0.0000) [1 per cell]  6 Nd 2.46

***

Entry two
A plane-wave DFT calculation with PBE was carried out for an optimized crystal structure of Nd3PtN.

Mass density ... 8.47 g/cm³

abc: 13.8144 11.0524 6.7106
angles: 90.00 100.59 90.00
Closest atoms and distances in Å follow each position.
Space group C2/c (No. 15)
One atom of each set of equivalent atoms:
Nd (0.1027, 0.2394, 0.4571) [8 per cell]  2 N 2.51-2.63
Nd (0.1052, 0.0815, 0.9537) [8 per cell]  3 N 2.54-2.67
Nd (0.1139, 0.4093, 0.9068) [8 per cell]  1 N 2.50
Pt (0.2411, 0.3909, 0.2893) [8 per cell]  5 Nd 2.84-3.02
N (0.0000, 0.0806, 0.2500) [4 per cell]  6 Nd 2.51-2.67
N (0.0000, 0.2459, 0.7500) [4 per cell]  6 Nd 2.50-2.63

***

entry two wins, 0.067 eV/atom ahead of the next structure.

***

Entry one
A plane-wave DFT calculation with PBE was carried out for an optimized crystal structure of Nd2PuN.

Mass density ... 8.57 g/cm³

abc: 3.5391 3.5391 29.2932
angles: 90.00 90.00 120.00
Closest atoms and distances in Å follow each position.
Space group R-3m (No. 166, hexagonal axes)
One atom of each set of equivalent atoms:
Nd (0.0000, 0.0000, 0.1183) [6 per cell]  3 N 2.49
Pu (0.0000, 0.0000, 0.0000) [3 per cell]  2 Nd 3.47, 6 Pu 3.54
N (0.0000, 0.0000, 0.5000) [3 per cell]  6 Nd 2.49

***

Entry two
A plane-wave DFT calculation with PBE was carried out for an optimized crystal structure of Nd2PuN.

Mass density ... 9.80 g/cm³

abc: 3.2066 3.2066 9.0050
angles: 90.00 90.00 90.00
Closest atoms and distances in Å follow each position.
Space group P4/mmm (No. 123)
One atom of each set of equivalent atoms:
Nd (0.0000, 0.0000, 0.1640) [2 per cell]  4 N 2.71, 1 Nd 2.95
Pu (0.5000, 0.5000, 0.5000) [1 per cell]  4 Pu 3.21
N (0.5000, 0.5000, 0.0000) [1 per cell]  8 Nd 2.71

***

entry one wins, 0.349 eV/atom ahead of the next structure.

***

Entry one
A plane-wave DFT calculation with PBE was carried out for an optimized crystal structure of Nd4PuN4.

Mass density ... 7.55 g/cm³

abc: 5.8298 5.8298 11.3503
angles: 90.00 90.00 90.00
Closest atoms and distances in Å follow each position.
Space group I-42m (No. 121)
One atom of each set of equivalent atoms:
Nd (0.0000, 0.0000, 0.2205) [4 per cell]  4 N 2.45-2.61
Nd (0.0000, 0.5000, 0.0000) [4 per cell]  4 N 2.51
Pu (0.0000, 0.0000, 0.5000) [2 per cell]  4 N 2.39
N (0.2339, 0.2339, 0.6250) [8 per cell]  1 Pu 2.39, 4 Nd 2.45-2.61

***

Entry two
A plane-wave DFT calculation with PBE was carried out for an optimized crystal structure of Nd4PuN4.

Mass density ... 8.61 g/cm³

abc: 12.0705 3.6048 8.9634
angles: 90.00 119.82 90.00
Closest atoms and distances in Å follow each position.
Space group C2/m (No. 12)
One atom of each set of equivalent atoms:
Nd (0.1070, 0.0000, 0.3852) [4 per cell]  4 N 2.43-2.66
Nd (0.2047, 0.5000, 0.8111) [4 per cell]  5 N 2.46-2.66
Pu (0.0000, 0.5000, 0.0000) [2 per cell]  6 N 2.45-2.53
N (0.0936, 0.0000, 0.9126) [4 per cell]  2 Pu 2.45, 4 Nd 2.46-2.66
N (0.1957, 0.5000, 0.2958) [4 per cell]  5 Nd 2.43-2.66, 1 Pu 2.53

***

entry two wins, 0.465 eV/atom ahead of the next structure.

***

Entry one
A plane-wave DFT calculation with PBE was carried out for an optimized crystal structure of Nd2Re2N5.

Mass density ... 9.39 g/cm³

abc: 11.5414 3.8477 6.0944
angles: 90.00 107.20 90.00
Closest atoms and distances in Å follow each position.
Space group C2/m (No. 12)
One atom of each set of equivalent atoms:
Nd (0.1133, 0.0000, 0.3014) [4 per cell]  6 N 2.44-2.71
Re (0.1373, 0.5000, 0.8574) [4 per cell]  4 N 1.85-2.03
N (0.0000, 0.5000, 0.0000) [2 per cell]  2 Re 2.02
N (0.1553, 0.5000, 0.5654) [4 per cell]  1 Re 1.85
N (0.1800, 0.0000, 0.9573) [4 per cell]  3 Re 2.03-2.08

***

Entry two
A plane-wave DFT calculation with PBE was carried out for an optimized crystal structure of Nd2Re2N5.

Mass density ... 9.93 g/cm³

abc: 15.6167 5.6066 5.5840
angles: 90.00 90.00 90.00
Closest atoms and distances in Å follow each position.
Space group Ima2 (No. 46)
One atom of each set of equivalent atoms:
Nd (0.1170, 0.0035, 0.0000) [8 per cell]  4 N 2.49-2.70
Re (0.0000, 0.0000, 0.4987) [4 per cell]  6 N 1.99-2.05
Re (0.2500, 0.5210, 0.9935) [4 per cell]  4 N 1.91-1.92
N (0.0137, 0.7492, 0.7481) [8 per cell]  2 Re 1.99
N (0.1301, 0.0536, 0.4991) [8 per cell]  2 Re 1.92-2.05
N (0.2500, 0.7174, 0.7136) [4 per cell]  2 Re 1.91

***

entry two wins, 0.133 eV/atom ahead of the next structure.

***

Entry one
A plane-wave DFT calculation with PBE was carried out for an optimized crystal structure of NdReN2.

Mass density ... 9.65 g/cm³

abc: 3.3782 3.3782 18.7135
angles: 90.00 90.00 120.00
Closest atoms and distances in Å follow each position.
Space group R-3m (No. 166, hexagonal axes)
One atom of each set of equivalent atoms:
Nd (0.0000, 0.0000, 0.0000) [3 per cell]  2 N 2.34
Re (0.0000, 0.0000, 0.5000) [3 per cell]  6 N 2.10
N (0.0000, 0.0000, 0.1251) [6 per cell]  3 Re 2.10, 1 Nd 2.34

***

Entry two
A plane-wave DFT calculation with PBE was carried out for an optimized crystal structure of NdReN2.

Mass density ... 10.83 g/cm³

abc: 3.9840 3.9840 3.4630
angles: 90.00 90.00 90.00
Closest atoms and distances in Å follow each position.
Space group P4/mmm (No. 123)
One atom of each set of equivalent atoms:
Nd (0.0000, 0.0000, 0.0000) [1 per cell]  8 N 2.64
Re (0.5000, 0.5000, 0.5000) [1 per cell]  4 N 1.99
N (0.0000, 0.5000, 0.5000) [2 per cell]  2 Re 1.99

***

entry two wins, 1.036 eV/atom ahead of the next structure.

***

Entry one
A plane-wave DFT calculation with PBE was carried out for an optimized crystal structure of NdRuN.

Mass density ... 8.66 g/cm³

abc: 3.3753 3.3753 5.0375
angles: 90.00 90.00 120.00
Closest atoms and distances in Å follow each position.
Space group P3m1 (No. 156)
One atom of each set of equivalent atoms:
Nd (0.0000, 0.0000, 0.0000) [1 per cell]  3 N 2.52
Ru (0.6667, 0.3333, 0.5450) [1 per cell]  3 N 2.07
N (0.3333, 0.6667, 0.6839) [1 per cell]  3 Ru 2.07

***

Entry two
A plane-wave DFT calculation with PBE was carried out for an optimized crystal structure of NdRuN.

Mass density ... 7.89 g/cm³

abc: 5.0642 9.0613 4.7595
angles: 90.00 90.00 90.00
Closest atoms and distances in Å follow each position.
Space group Cmcm (No. 63)
One atom of each set of equivalent atoms:
Nd (0.0000, 0.1874, 0.2500) [4 per cell]  4 N 2.53-2.63
Ru (0.0000, 0.5000, 0.0000) [4 per cell]  2 N 2.09
N (0.0000, 0.3104, 0.7500) [4 per cell]  2 Ru 2.09

***

entry two wins, 0.167 eV/atom ahead of the next structure.